First-principles (PBE) data for a geometry-optimized Ac4Tl2P structure, as listed in the Alexandria database.

Cell: 4.7034 7.1642 8.5669 Å, 74.17 74.07 70.84°
Sites, in units of the cell vectors:
Ac 0.0829 0.1969 0.6373
Ac 0.9171 0.8031 0.3627
Ac 0.3336 0.2538 0.0790
Ac 0.6664 0.7462 0.9210
Tl 0.3712 0.5908 0.6668
Tl 0.6288 0.4092 0.3332
P 0.0000 0.0000 0.0000

Calculated values
Energy of formation ... -597 meV per atom
Volume ... 256.84 Å³/f.u.
Spin magnetization ... 0.0 μB per cell
Crystal system ... monoclinic